UCrCuSi2: relaxed, PBE.

```
UCrCuSi2
1.0
5.871 0.000 0.000
3.234 4.900 0.000
-4.553 -2.450 2.782
U Cr Cu Si
1 1 1 2
direct
0.000 0.000 0.000
0.250 0.750 0.500
0.750 0.250 0.500
0.615 0.615 0.000
0.385 0.385 0.000
```

## Properties
As for the crystal system: tetragonal. The value obtained for the final energy is -36.92 eV for the cell shown. As for the density of states at the Fermi level: 6.839 states/eV per cell. For the raw formation energy, the calculation gives -0.214 eV per atom. Its space group is I-4m2 (119).